Entry 1:
# Ac3Pm12Al | Alexandria via LeMat-Bulk | PBE | relaxed
# electronic total energy: -4.56 eV per atom
# energy of formation from the pure elements: 0.079 eV per formula unit
data_Ac3Pm12Al
_chemical_formula_sum 'Ac3 Pm12 Al1'
_cell_length_a 5.1597
_cell_length_b 5.1597
_cell_length_c 20.8373
_cell_angle_alpha 90.00
_cell_angle_beta 90.00
_cell_angle_gamma 90.00
_symmetry_space_group_name_H-M 'P 4/m m m'
_symmetry_Int_Tables_number 123
_symmetry_space_group_name_Hall '-P 4 2'
loop_
_atom_site_label
_atom_site_type_symbol
_atom_site_fract_x
_atom_site_fract_y
_atom_site_fract_z
Ac1 Ac 0.0000 0.0000 0.0000
Ac2 Ac 0.0000 0.0000 0.2574
Pm1 Pm 0.0000 0.5000 0.1292
Pm2 Pm 0.0000 0.5000 0.3884
Pm3 Pm 0.5000 0.5000 0.0000
Pm4 Pm 0.5000 0.5000 0.2613
Pm5 Pm 0.5000 0.5000 0.5000
Al1 Al 0.0000 0.0000 0.5000

Entry 2:
# AcPm2Al | Alexandria via LeMat-Bulk | PBE | relaxed
# electronic total energy: -4.43 eV per atom
# energy of formation from the pure elements: -0.381 eV per formula unit
data_AcPm2Al
_chemical_formula_sum 'Ac2 Pm4 Al2'
_cell_length_a 5.5176
_cell_length_b 6.9823
_cell_length_c 6.6064
_cell_angle_alpha 90.00
_cell_angle_beta 90.00
_cell_angle_gamma 90.00
_symmetry_space_group_name_H-M 'P m m n'
_symmetry_Int_Tables_number 59
loop_
_symmetry_equiv_pos_as_xyz
'x,y,z'
'-x,-y,-z'
'-x+1/2,-y+1/2,z'
'x+1/2,y+1/2,-z'
'x+1/2,-y,-z'
'-x+1/2,y,z'
'-x,y+1/2,-z'
'x,-y+1/2,z'
loop_
_atom_site_label
_atom_site_type_symbol
_atom_site_fract_x
_atom_site_fract_y
_atom_site_fract_z
Ac1 Ac 0.2500 0.2500 0.1126
Pm1 Pm 0.2500 0.0122 0.6412
Al1 Al 0.2500 0.7500 0.2088